An optimized crystal structure of Cs4P2Se9. Source: Alexandria via LeMat-Bulk, functional GGA-PBE.

Properties
total magnetic moment = 0.000 μB per atom
E = -0.1376 hartree per atom
E_form (uncorrected) = -704.5 meV per atom
calculated volume = 576.4 Å³/f.u.

The structure in POSCAR format:
```
Cs4P2Se9
1.0
-2.197 -6.434 3.288
2.640 -3.530 -6.132
18.209 -2.952 8.439
Se Cs P
18 8 4
direct
0.207 0.281 0.519 Se
0.099 0.901 0.750 Se
0.793 0.719 0.481 Se
0.901 0.099 0.250 Se
0.739 0.508 0.320 Se
0.057 0.024 0.151 Se
0.719 0.793 0.981 Se
0.516 0.116 0.642 Se
0.976 0.943 0.349 Se
0.884 0.484 0.858 Se
0.943 0.976 0.849 Se
0.484 0.884 0.358 Se
0.508 0.739 0.820 Se
0.116 0.516 0.142 Se
0.492 0.261 0.180 Se
0.024 0.057 0.651 Se
0.281 0.207 0.019 Se
0.261 0.492 0.680 Se
0.556 0.770 0.177 Cs
0.230 0.444 0.323 Cs
0.770 0.556 0.677 Cs
0.444 0.230 0.823 Cs
0.782 0.286 0.027 Cs
0.714 0.218 0.473 Cs
0.218 0.714 0.973 Cs
0.286 0.782 0.527 Cs
0.276 0.254 0.624 P
0.254 0.276 0.124 P
0.724 0.746 0.376 P
0.746 0.724 0.876 P
```